Entry 1:
Density functional theory data (PBE) for CsZr3V after structural relaxation.

Cell and atoms, written as POSCAR:
```
CsZr3V
1.0
-1.900 -1.006 4.712
-1.728 -4.586 -1.676
4.498 -2.187 1.347
Cs Zr V
1 3 1
direct
0.500 0.500 0.500
0.000 0.500 0.000
0.500 0.000 0.000
0.000 0.000 0.500
0.000 0.000 0.000
```

Energy above the most stable polymorph in this dataset, kJ/mol of formula units: 0
Formation energy from the elements, eV/atom: 1.02
Density of states at the Fermi level, states/eV per cell: 8.7

Entry 2:
Density functional theory data (PBE) for Cs2ZrV after structural relaxation.

Cell and atoms, written as POSCAR:
```
Cs2ZrV
1.0
0.000 4.478 4.478
4.478 0.000 4.478
4.478 4.478 0.000
Cs Zr V
2 1 1
direct
0.250 0.250 0.250
0.750 0.750 0.750
0.500 0.500 0.500
0.000 0.000 0.000
```

Formation energy from the elements, eV/atom: 1.87
Density of states at the Fermi level, states/eV per cell: 11.4

Entry 3:
Density functional theory data (PBE) for CsZr2V after structural relaxation.

Cell and atoms, written as POSCAR:
```
CsZr2V
1.0
0.000 3.672 3.672
3.672 0.000 3.672
3.672 3.672 0.000
V Zr Cs
1 2 1
direct
0.000 0.000 0.000
0.250 0.250 0.250
0.750 0.750 0.750
0.500 0.500 0.500
```

Energy above the most stable polymorph in this dataset, kJ/mol of formula units: 0
Formation energy from the elements, eV/atom: 1.32
Density of states at the Fermi level, states/eV per cell: 6.3

Entry 4:
Density functional theory data (PBE) for CsZr3V after structural relaxation.

Cell and atoms, written as POSCAR:
```
CsZr3V
1.0
-4.543 -0.896 2.356
1.005 -5.097 -0.001
2.312 0.455 4.630
Cs Zr V
1 3 1
direct
0.000 0.000 0.000
0.500 0.000 0.000
0.000 0.000 0.500
0.000 0.500 0.000
0.500 0.500 0.500
```

Energy above the most stable polymorph in this dataset, kJ/mol of formula units: 657
Formation energy from the elements, eV/atom: 2.38
Density of states at the Fermi level, states/eV per cell: 11.2